Entry 1:
Computed, not measured: an optimized crystal structure of BaBS4 at the GGA-PBE level of DFT.

Values from the calculation:
For the energy relative to the elements, uncorrected, the calculation gives -4.89 eV/f.u. For the distance to the lowest polymorph of the same formula, the calculation gives 0 meV/atom. The calculated total energy is -5.000 eV/atom.

Unit cell a=12.252 b=6.163 c=8.971 alpha=90.00 beta=94.56 gamma=90.00
Space group C2/m (No. 12)
Unique sites:
Ba: 0.243 0.000 0.246 (multiplicity 4)
B: 0.081 0.000 0.937 (multiplicity 4)
S: 0.000 0.233 0.000 (multiplicity 4)
S: 0.108 0.338 0.473 (multiplicity 8)
S: 0.208 0.000 0.861 (multiplicity 4)


Entry 2:
Computed, not measured: an optimized crystal structure of BaBSbS4 at the GGA-PBE level of DFT.

Values from the calculation:
For the energy relative to the elements, uncorrected, the calculation gives -5.94 eV/f.u. For the distance to the lowest polymorph of the same formula, the calculation gives 81 meV/atom. The calculated total energy is -5.024 eV/atom.

Unit cell a=6.704 b=6.385 c=8.351 alpha=90.00 beta=108.60 gamma=90.00
Space group P2_1/m (No. 11)
Unique sites:
Ba: 0.215 0.250 0.446 (multiplicity 2)
B: 0.264 0.750 0.187 (multiplicity 2)
Sb: 0.252 0.250 0.988 (multiplicity 2)
S: 0.092 0.750 0.947 (multiplicity 2)
S: 0.096 0.750 0.339 (multiplicity 2)
S: 0.448 0.510 0.229 (multiplicity 4)


Entry 3:
Computed, not measured: an optimized crystal structure of BaBSbS4 at the GGA-PBE level of DFT.

Values from the calculation:
For the energy relative to the elements, uncorrected, the calculation gives -6.50 eV/f.u. For the distance to the lowest polymorph of the same formula, the calculation gives 0 meV/atom. The calculated total energy is -5.105 eV/atom.

Unit cell a=10.065 b=6.260 c=11.903 alpha=90.00 beta=90.00 gamma=90.00
Space group Pnma (No. 62)
Unique sites:
Ba: 0.013 0.250 0.169 (multiplicity 4)
B: 0.195 0.750 0.453 (multiplicity 4)
Sb: 0.196 0.250 0.542 (multiplicity 4)
S: 0.071 0.750 0.090 (multiplicity 4)
S: 0.177 0.750 0.603 (multiplicity 4)
S: 0.208 0.502 0.373 (multiplicity 8)


Entry 4:
Computed, not measured: an optimized crystal structure of BaScBS2 at the GGA-PBE level of DFT.

Values from the calculation:
For the energy relative to the elements, uncorrected, the calculation gives 4.65 eV/f.u. The calculated total energy is -3.707 eV/atom.

Unit cell a=5.682 b=5.682 c=4.868 alpha=90.00 beta=90.00 gamma=90.00
Space group P4/mmm (No. 123)
Unique sites:
Ba: 0.000 0.000 0.000 (multiplicity 1)
Sc: 0.500 0.500 0.500 (multiplicity 1)
B: 0.000 0.000 0.500 (multiplicity 1)
S: 0.000 0.500 0.000 (multiplicity 2)


Entry 5:
Computed, not measured: an optimized crystal structure of Ba2SmB2S6 at the GGA-PBE level of DFT.

Values from the calculation:
For the energy relative to the elements, uncorrected, the calculation gives -14.39 eV/f.u. The calculated total energy is -5.552 eV/atom.

Unit cell a=11.557 b=6.581 c=8.136 alpha=90.00 beta=119.55 gamma=90.00
Space group C2/m (No. 12)
Unique sites:
Ba: 0.211 0.000 0.208 (multiplicity 4)
Sm: 0.000 0.000 0.500 (multiplicity 2)
B: 0.050 0.500 0.257 (multiplicity 4)
S: 0.043 0.260 0.802 (multiplicity 8)
S: 0.230 0.500 0.356 (multiplicity 4)


Entry 6:
Computed, not measured: an optimized crystal structure of BaSmB2S6 at the GGA-PBE level of DFT.

Values from the calculation:
For the energy relative to the elements, uncorrected, the calculation gives -10.71 eV/f.u. The calculated total energy is -5.547 eV/atom.

Unit cell a=9.969 b=12.156 c=8.769 alpha=90.00 beta=111.39 gamma=90.00
Space group C2/c (No. 15)
Unique sites:
Ba: 0.000 0.151 0.250 (multiplicity 4)
Sm: 0.000 0.424 0.750 (multiplicity 4)
B: 0.248 0.382 0.272 (multiplicity 8)
S: 0.078 0.385 0.097 (multiplicity 8)
S: 0.163 0.248 0.664 (multiplicity 8)
S: 0.202 0.002 0.100 (multiplicity 8)


Entry 7:
Computed, not measured: an optimized crystal structure of Ba2Sr5B4S13 at the GGA-PBE level of DFT.

Values from the calculation:
For the energy relative to the elements, uncorrected, the calculation gives -35.23 eV/f.u. The calculated total energy is -5.327 eV/atom.

Unit cell a=9.957 b=23.629 c=9.938 alpha=90.00 beta=90.13 gamma=90.00
Space group C2/c (No. 15)
Unique sites:
Ba: 0.000 0.008 0.250 (multiplicity 4)
Ba: 0.000 0.330 0.250 (multiplicity 4)
Sr: 0.000 0.498 0.750 (multiplicity 4)
Sr: 0.107 0.171 0.976 (multiplicity 8)
Sr: 0.226 0.327 0.643 (multiplicity 8)
B: 0.099 0.383 0.927 (multiplicity 8)
B: 0.179 0.115 0.650 (multiplicity 8)
S: 0.000 0.199 0.250 (multiplicity 4)
S: 0.048 0.418 0.506 (multiplicity 8)
S: 0.094 0.078 0.514 (multiplicity 8)
S: 0.104 0.304 0.932 (multiplicity 8)
S: 0.181 0.194 0.647 (multiplicity 8)
S: 0.234 0.421 0.844 (multiplicity 8)
S: 0.248 0.080 0.797 (multiplicity 8)


Entry 8:
Computed, not measured: an optimized crystal structure of BaTaBS6 at the GGA-PBE level of DFT.

Values from the calculation:
For the energy relative to the elements, uncorrected, the calculation gives -7.36 eV/f.u. The calculated total energy is -5.842 eV/atom.

Unit cell a=5.397 b=6.216 c=7.142 alpha=71.42 beta=76.82 gamma=79.59
Space group P1 (No. 1)
Unique sites:
Ba: 0.000 0.000 0.000 (multiplicity 1)
Ta: 0.442 0.311 0.403 (multiplicity 1)
B: 0.554 0.778 0.548 (multiplicity 1)
S: 0.112 0.449 0.630 (multiplicity 1)
S: 0.228 0.468 0.126 (multiplicity 1)
S: 0.427 0.950 0.322 (multiplicity 1)
S: 0.604 0.964 0.682 (multiplicity 1)
S: 0.620 0.469 0.628 (multiplicity 1)
S: 0.767 0.465 0.135 (multiplicity 1)